[1]
# Pm5Pr2Er

A geometry-optimized Pm5Pr2Er structure (GGA-PBE, Alexandria via LeMat-Bulk).

abc: 16.5480 10.2039 6.7163
angles: 90.00 101.98 90.00
Space group C2/c (No. 15)
Unique sites:
Pm  0.0000  0.0656  0.2500
Pm  0.0973  0.4093  0.1582
Pm  0.2057  0.0825  0.0328
Pr  0.0852  0.2582  0.6450
Er  0.2500  0.2500  0.5000

Volume: 1109.4 Å³/cell
Size of the total moment: 0.00 μB/f.u.
Final energy: -146.9 eV per cell


[2]
# RbZn2GePt

A geometry-optimized RbZn2GePt structure (GGA-PBE, Alexandria via LeMat-Bulk).

abc: 5.0264 5.0264 4.9062
angles: 90.00 90.00 90.00
Space group P4/mmm (No. 123)
Unique sites:
Rb  0.0000  0.0000  0.0000
Zn  0.0000  0.5000  0.5000
Ge  0.5000  0.5000  0.0000
Pt  0.5000  0.5000  0.5000

Volume: 124.0 Å³/cell
Size of the total moment: 0.00 μB/f.u.
Final energy: -14.9 eV per cell


Copy entry 2 word for word.
# RbZn2GePt

A geometry-optimized RbZn2GePt structure (GGA-PBE, Alexandria via LeMat-Bulk).

abc: 5.0264 5.0264 4.9062
angles: 90.00 90.00 90.00
Space group P4/mmm (No. 123)
Unique sites:
Rb  0.0000  0.0000  0.0000
Zn  0.0000  0.5000  0.5000
Ge  0.5000  0.5000  0.0000
Pt  0.5000  0.5000  0.5000

Volume: 124.0 Å³/cell
Size of the total moment: 0.00 μB/f.u.
Final energy: -14.9 eV per cell